Entry from Alexandria via LeMat-Bulk: a geometry-optimized Li2ZrReO6 structure (PBE-GGA).

Structure (POSCAR):
```
Li2ZrReO6
1.0
5.637 0.000 0.000
0.000 5.637 0.000
0.000 0.000 4.199
Li Zr Re O
2 1 1 6
Direct
0.000 0.500 0.000
0.500 0.000 0.000
0.000 0.000 0.769
0.500 0.500 0.730
0.000 0.000 0.302
0.266 0.266 0.833
0.266 0.734 0.833
0.500 0.500 0.320
0.734 0.266 0.833
0.734 0.734 0.833
```

Uncorrected formation energy = -2.1431 eV per atom
Magnetic moment = 0.358 μB per cell
Crystal system = tetragonal
Density = 4.82 g/cm3
V = 13.3 Å³/atom